No. 1
A plane-wave DFT calculation with GGA-PBE was carried out for an optimized crystal structure of Dy4Er3Tm5.

Cell: 6.064 7.013 8.570 Å, 89.97 89.98 89.93°
Fractional coordinates of all 12 atoms:
1 Dy 0.167 0.000 0.332
2 Dy 0.333 0.749 0.667
3 Dy 0.667 0.251 0.333
4 Dy 0.833 0.000 0.668
5 Er 0.333 0.250 0.667
6 Er 0.500 0.500 0.000
7 Er 0.667 0.750 0.333
8 Tm 0.000 0.251 0.000
9 Tm 0.000 0.749 0.000
10 Tm 0.166 0.500 0.332
11 Tm 0.500 0.000 0.000
12 Tm 0.834 0.500 0.668

Properties
Energy in eV/atom: -4.5150
Distance to the lowest polymorph of the same formula in meV/atom: 0

***

No. 2
A plane-wave DFT calculation with GGA-PBE was carried out for an optimized crystal structure of DyEr6Tm2.

Cell: 9.637 9.637 6.157 Å, 91.20 91.20 104.33°
Fractional coordinates of all 18 atoms:
1 Dy 0.029 0.971 0.750
2 Dy 0.971 0.029 0.250
3 Er 0.035 0.692 0.409
4 Er 0.137 0.624 0.908
5 Er 0.308 0.965 0.091
6 Er 0.321 0.518 0.475
7 Er 0.376 0.863 0.592
8 Er 0.482 0.679 0.025
9 Er 0.518 0.321 0.975
10 Er 0.624 0.137 0.408
11 Er 0.679 0.482 0.525
12 Er 0.692 0.035 0.909
13 Er 0.863 0.376 0.092
14 Er 0.965 0.308 0.591
15 Tm 0.183 0.301 0.015
16 Tm 0.301 0.183 0.515
17 Tm 0.699 0.817 0.485
18 Tm 0.817 0.699 0.985

Properties
Energy in eV/atom: -4.4137
Distance to the lowest polymorph of the same formula in meV/atom: 0

***

No. 3
A plane-wave DFT calculation with GGA-PBE was carried out for an optimized crystal structure of Dy7ErTm3.

Cell: 8.332 8.332 5.736 Å, 110.10 110.10 83.20°
Fractional coordinates of all 11 atoms:
1 Dy 0.000 0.000 0.000
2 Dy 0.099 0.509 0.304
3 Dy 0.292 0.292 0.793
4 Dy 0.491 0.901 0.696
5 Dy 0.509 0.099 0.304
6 Dy 0.708 0.708 0.207
7 Dy 0.901 0.491 0.696
8 Er 0.000 0.000 0.500
9 Tm 0.294 0.706 0.000
10 Tm 0.500 0.500 0.500
11 Tm 0.706 0.294 0.000

Properties
Energy in eV/atom: -4.2889
Distance to the lowest polymorph of the same formula in meV/atom: 129

***

No. 4
A plane-wave DFT calculation with GGA-PBE was carried out for an optimized crystal structure of Dy3Er2Tm.

Cell: 9.299 9.299 6.077 Å, 90.05 90.05 44.39°
Fractional coordinates of all 12 atoms:
1 Dy 0.125 0.875 0.750
2 Dy 0.208 0.458 0.583
3 Dy 0.458 0.208 0.083
4 Dy 0.542 0.792 0.917
5 Dy 0.792 0.542 0.417
6 Dy 0.875 0.125 0.250
7 Er 0.042 0.292 0.917
8 Er 0.292 0.042 0.417
9 Er 0.708 0.958 0.583
10 Er 0.958 0.708 0.083
11 Tm 0.375 0.625 0.250
12 Tm 0.625 0.375 0.750

Properties
Energy in eV/atom: -4.5452

***

No. 5
A plane-wave DFT calculation with GGA-PBE was carried out for an optimized crystal structure of DyErTm4.

Cell: 3.413 5.705 9.694 Å, 90.00 90.00 90.00°
Fractional coordinates of all 6 atoms:
1 Dy 0.000 0.000 0.000
2 Er 0.500 0.500 0.500
3 Tm 0.000 0.500 0.190
4 Tm 0.000 0.500 0.810
5 Tm 0.500 0.000 0.312
6 Tm 0.500 0.000 0.688

Properties
Energy in eV/atom: -4.3080
Distance to the lowest polymorph of the same formula in meV/atom: 42

***

No. 6
A plane-wave DFT calculation with GGA-PBE was carried out for an optimized crystal structure of Dy5Er8Tm.

Cell: 8.335 8.335 8.335 Å, 110.80 110.80 106.84°
Fractional coordinates of all 14 atoms:
1 Dy 0.000 0.000 0.000
2 Dy 0.211 0.534 0.899
3 Dy 0.466 0.365 0.677
4 Dy 0.635 0.312 0.101
5 Dy 0.688 0.789 0.323
6 Er 0.160 0.075 0.738
7 Er 0.337 0.422 0.262
8 Er 0.417 0.022 0.254
9 Er 0.578 0.840 0.915
10 Er 0.768 0.163 0.746
11 Er 0.837 0.583 0.605
12 Er 0.925 0.663 0.085
13 Er 0.978 0.232 0.395
14 Tm 0.250 0.750 0.500

Properties
Energy in eV/atom: -4.3129

***

No. 7
A plane-wave DFT calculation with GGA-PBE was carried out for an optimized crystal structure of Dy2Er5Tm5.

Cell: 7.816 7.816 11.058 Å, 115.07 115.07 36.87°
Fractional coordinates of all 12 atoms:
1 Dy 0.083 0.083 0.250
2 Dy 0.917 0.917 0.750
3 Er 0.000 0.000 0.500
4 Er 0.167 0.167 0.000
5 Er 0.249 0.249 0.749
6 Er 0.751 0.751 0.251
7 Er 0.833 0.833 0.000
8 Tm 0.333 0.333 0.500
9 Tm 0.416 0.416 0.250
10 Tm 0.500 0.500 0.000
11 Tm 0.584 0.584 0.750
12 Tm 0.667 0.667 0.500

Properties
Energy in eV/atom: -4.5079

***

No. 8
A plane-wave DFT calculation with GGA-PBE was carried out for an optimized crystal structure of Dy2Er8Tm3.

Cell: 10.751 10.751 5.506 Å, 90.00 90.00 139.28°
Fractional coordinates of all 13 atoms:
1 Dy 0.241 0.759 0.000
2 Dy 0.759 0.241 0.000
3 Er 0.132 0.868 0.500
4 Er 0.179 0.395 0.000
5 Er 0.335 0.665 0.500
6 Er 0.395 0.179 0.000
7 Er 0.605 0.821 0.000
8 Er 0.665 0.335 0.500
9 Er 0.821 0.605 0.000
10 Er 0.868 0.132 0.500
11 Tm 0.000 0.000 0.000
12 Tm 0.283 0.283 0.500
13 Tm 0.717 0.717 0.500

Properties
Energy in eV/atom: -4.3056
Distance to the lowest polymorph of the same formula in meV/atom: 74

***

No. 9
A plane-wave DFT calculation with GGA-PBE was carried out for an optimized crystal structure of Dy3Er6Tm2.

Cell: 16.705 16.705 16.705 Å, 163.94 163.94 22.78°
Fractional coordinates of all 11 atoms:
1 Dy 0.000 0.000 0.000
2 Dy 0.200 0.200 0.000
3 Dy 0.800 0.800 0.000
4 Er 0.121 0.621 0.500
5 Er 0.304 0.304 0.000
6 Er 0.379 0.879 0.500
7 Er 0.621 0.121 0.500
8 Er 0.696 0.696 0.000
9 Er 0.879 0.379 0.500
10 Tm 0.454 0.454 0.000
11 Tm 0.546 0.546 0.000

Properties
Energy in eV/atom: -4.2650
Distance to the lowest polymorph of the same formula in meV/atom: 268

***

No. 10
A plane-wave DFT calculation with GGA-PBE was carried out for an optimized crystal structure of Dy5Er2Tm2.

Cell: 7.860 7.860 7.861 Å, 107.46 107.46 36.80°
Fractional coordinates of all 9 atoms:
1 Dy 0.000 0.000 0.000
2 Dy 0.222 0.222 0.334
3 Dy 0.333 0.333 0.000
4 Dy 0.667 0.667 0.000
5 Dy 0.778 0.778 0.666
6 Er 0.110 0.110 0.666
7 Er 0.890 0.890 0.334
8 Tm 0.445 0.445 0.666
9 Tm 0.555 0.555 0.334

Properties
Energy in eV/atom: -4.5441
Distance to the lowest polymorph of the same formula in meV/atom: 0

***

No. 11
A plane-wave DFT calculation with GGA-PBE was carried out for an optimized crystal structure of DyEr6Tm2.

Cell: 8.419 8.419 8.419 Å, 48.22 48.22 48.22°
Fractional coordinates of all 9 atoms:
1 Dy 0.000 0.000 0.000
2 Er 0.231 0.720 0.720
3 Er 0.438 0.945 0.945
4 Er 0.720 0.231 0.720
5 Er 0.720 0.720 0.231
6 Er 0.945 0.438 0.945
7 Er 0.945 0.945 0.438
8 Tm 0.248 0.248 0.248
9 Tm 0.414 0.414 0.414

Properties
Energy in eV/atom: -4.1417
Distance to the lowest polymorph of the same formula in meV/atom: 272

***

No. 12
A plane-wave DFT calculation with GGA-PBE was carried out for an optimized crystal structure of DyEr4Tm7.

Cell: 6.613 6.613 12.494 Å, 115.27 115.27 51.55°
Fractional coordinates of all 12 atoms:
1 Dy 0.000 0.000 0.000
2 Er 0.245 0.245 0.682
3 Er 0.364 0.364 0.225
4 Er 0.636 0.636 0.775
5 Er 0.755 0.755 0.318
6 Tm 0.061 0.061 0.323
7 Tm 0.212 0.212 0.924
8 Tm 0.365 0.365 0.499
9 Tm 0.500 0.500 0.000
10 Tm 0.635 0.635 0.501
11 Tm 0.788 0.788 0.076
12 Tm 0.939 0.939 0.677

Properties
Energy in eV/atom: -4.2078
Distance to the lowest polymorph of the same formula in meV/atom: 212

***

Calculated values (eV/atom) of ΔH_f (0 K) for the records, taken in order: 0.023 0.133 0.274 0.022 0.200 0.257 0.023 0.242 0.292 0.020 0.405 0.305.
Calculated values (states/eV/cell) of N(E_F) for the records, taken in order: 15.716 28.037 15.612 16.715 12.370 19.962 15.535 22.042 17.039 11.414 14.235 20.454.
Calculated values (Å³ per cell) of volume for the records, taken in order: 364.5 553.7 351.2 367.6 188.8 445.0 362.6 415.1 356.5 276.0 304.1 376.7.